# 1
A relaxed structure of Ta2TeCl. Source: Alexandria, functional PBE-GGA.

Summary:
- Uncorrected energy: -6.872 eV/atom
- Energy relative to the elements, uncorrected: 0.30 eV per atom
- Energy relative to the lowest polymorph listed for this composition: 44.2 kJ/mol of atoms

abc: 8.9132 3.1948 5.4896
angles: 90.00 103.09 90.00
With the nearest neighbours (Å) after each atom.
Space group C2/m (No. 12)
Asymmetric unit:
Ta: 0.2452 0.0000 0.2451 (multiplicity 4)  3 Cl 2.79-2.89, 3 Te 2.85-2.87
Te: 0.0000 0.0000 0.5000 (multiplicity 2)  6 Ta 2.85-2.87, 4 Cl 3.18
Cl: 0.0000 0.5000 0.0000 (multiplicity 2)  6 Ta 2.79-2.89

---

# 2
A relaxed structure of TaTeCl2. Source: Alexandria, functional PBE-GGA.

Summary:
- Uncorrected energy: -5.130 eV/atom
- Energy relative to the elements, uncorrected: -0.46 eV per atom
- Energy relative to the lowest polymorph listed for this composition: 25.5 kJ/mol of atoms

abc: 3.0858 5.4300 13.4363
angles: 90.00 90.00 90.00
With the nearest neighbours (Å) after each atom.
Space group Immm (No. 71)
Asymmetric unit:
Ta: 0.0000 0.0000 0.0000 (multiplicity 2)  4 Cl 2.50
Te: 0.0000 0.0000 0.5000 (multiplicity 2)  2 Te 3.09, 4 Ta 3.12, 4 Cl 3.36
Cl: 0.0000 0.5000 0.3532 (multiplicity 4)  2 Ta 2.50

---

# 3
A relaxed structure of TaTeCl2. Source: Alexandria, functional PBE-GGA.

Summary:
- Uncorrected energy: -4.078 eV/atom
- Energy relative to the elements, uncorrected: 0.59 eV per atom
- Energy relative to the lowest polymorph listed for this composition: 127.1 kJ/mol of atoms

abc: 6.8254 6.8254 6.8254
angles: 90.00 90.00 90.00
With the nearest neighbours (Å) after each atom.
Space group Fm-3m (No. 225)
Asymmetric unit:
Ta: 0.0000 0.0000 0.0000 (multiplicity 4)  8 Cl 2.96
Te: 0.0000 0.0000 0.5000 (multiplicity 4)  8 Cl 2.96
Cl: 0.2500 0.2500 0.2500 (multiplicity 8)  4 Ta 2.96, 4 Te 2.96